Record 1
# RbLiRu2

A relaxed structure of RbLiRu2 (PBEsol, the Alexandria database).

```
data_RbLiRu2
_chemical_formula_sum 'Rb1 Li1 Ru2'
_space_group_name_H-M_alt 'P 1'
_space_group_IT_number 1
_space_group_name_Hall 'P 1'
_cell_length_a 4.5901
_cell_length_b 4.5901
_cell_length_c 4.5901
_cell_angle_alpha 60.00
_cell_angle_beta 60.00
_cell_angle_gamma 60.00
loop_
_atom_site_label
_atom_site_fract_x
_atom_site_fract_y
_atom_site_fract_z
Rb1 0.0000 0.0000 0.0000
Li1 0.5000 0.5000 0.5000
Ru1 0.2500 0.2500 0.2500
Ru2 0.7500 0.7500 0.7500
```

Calculated values
ρ in g/cm³: 7.152
Space group: Fm-3m, No. 225
DFT formation energy in eV/atom: 1.804

Record 2
# BiMo2H

A relaxed structure of BiMo2H (PBEsol, the Alexandria database).

```
data_BiMo2H
_chemical_formula_sum 'Bi1 Mo2 H1'
_space_group_name_H-M_alt 'P 1'
_space_group_IT_number 1
_space_group_name_Hall 'P 1'
_cell_length_a 4.4554
_cell_length_b 4.4554
_cell_length_c 4.4554
_cell_angle_alpha 60.00
_cell_angle_beta 60.00
_cell_angle_gamma 60.00
loop_
_atom_site_label
_atom_site_fract_x
_atom_site_fract_y
_atom_site_fract_z
Bi1 0.0000 0.0000 0.0000
Mo1 0.2500 0.2500 0.2500
Mo2 0.7500 0.7500 0.7500
H1 0.5000 0.5000 0.5000
```

Calculated values
ρ in g/cm³: 10.670
VASP energy in eV/cell: -26.0
Space group: Fm-3m, No. 225

Record 3
# NiPtW

A relaxed structure of NiPtW (PBEsol, the Alexandria database).

```
data_NiPtW
_chemical_formula_sum 'Ni1 Pt1 W1'
_space_group_name_H-M_alt 'P 1'
_space_group_IT_number 1
_space_group_name_Hall 'P 1'
_cell_length_a 5.8678
_cell_length_b 5.8678
_cell_length_c 5.8678
_cell_angle_alpha 153.29
_cell_angle_beta 153.29
_cell_angle_gamma 38.13
loop_
_atom_site_label
_atom_site_fract_x
_atom_site_fract_y
_atom_site_fract_z
Ni1 0.0000 0.0000 0.0000
Pt1 0.6670 0.6670 0.0000
W1 0.3453 0.3453 0.0000
```

Calculated values
ρ in g/cm³: 17.831
Space group: I4mm, No. 107
Polymorph energy (0 for the lowest one) in meV/atom: 90
DFT formation energy in eV/atom: -0.163

Record 4
# TiHgH2

A relaxed structure of TiHgH2 (PBEsol, the Alexandria database).

```
data_TiHgH2
_chemical_formula_sum 'Ti1 Hg1 H2'
_space_group_name_H-M_alt 'P 1'
_space_group_IT_number 1
_space_group_name_Hall 'P 1'
_cell_length_a 3.8992
_cell_length_b 3.8992
_cell_length_c 3.8992
_cell_angle_alpha 60.00
_cell_angle_beta 60.00
_cell_angle_gamma 60.00
loop_
_atom_site_label
_atom_site_fract_x
_atom_site_fract_y
_atom_site_fract_z
Ti1 0.0000 0.0000 0.0000
Hg1 0.5000 0.5000 0.5000
H1 0.2500 0.2500 0.2500
H2 0.7500 0.7500 0.7500
```

Calculated values
ρ in g/cm³: 9.922
Space group: Fm-3m, No. 225
Polymorph energy (0 for the lowest one) in meV/atom: 274

Record 5
# BeInIN2

A relaxed structure of BeInIN2 (PBEsol, the Alexandria database).

```
data_BeInIN2
_chemical_formula_sum 'Be1 In1 I1 N2'
_space_group_name_H-M_alt 'P 1'
_space_group_IT_number 1
_space_group_name_Hall 'P 1'
_cell_length_a 4.0671
_cell_length_b 4.0671
_cell_length_c 6.6378
_cell_angle_alpha 90.00
_cell_angle_beta 90.00
_cell_angle_gamma 90.00
loop_
_atom_site_label
_atom_site_fract_x
_atom_site_fract_y
_atom_site_fract_z
Be1 0.0000 0.0000 0.0000
In1 0.5000 0.5000 0.5000
I1 0.5000 0.5000 0.0000
N1 0.0000 0.5000 0.5000
N2 0.5000 0.0000 0.5000
```

Calculated values
ρ in g/cm³: 4.216
VASP energy in eV/cell: -17.5
Space group: P4/mmm, No. 123

Record 6
# Tc2As2Pt

A relaxed structure of Tc2As2Pt (PBEsol, the Alexandria database).

```
data_Tc2As2Pt
_chemical_formula_sum 'Tc2 As2 Pt1'
_space_group_name_H-M_alt 'P 1'
_space_group_IT_number 1
_space_group_name_Hall 'P 1'
_cell_length_a 5.4663
_cell_length_b 5.4663
_cell_length_c 5.4663
_cell_angle_alpha 134.77
_cell_angle_beta 134.77
_cell_angle_gamma 65.89
loop_
_atom_site_label
_atom_site_fract_x
_atom_site_fract_y
_atom_site_fract_z
Tc1 0.2500 0.7500 0.5000
Tc2 0.7500 0.2500 0.5000
As1 0.1250 0.1250 0.0000
As2 0.8750 0.8750 0.0000
Pt1 0.5000 0.5000 0.0000
```

Calculated values
ρ in g/cm³: 11.080
Space group: I4/mmm, No. 139
DFT formation energy in eV/atom: 0.166

Question: Among the records above, which one has the lowest ρ?
Answer: BeInIN2

Question: The lowest ρ belongs to which entry?
Answer: BeInIN2

Copy entry 1 word for word.
# RbLiRu2

A relaxed structure of RbLiRu2 (PBEsol, the Alexandria database).

```
data_RbLiRu2
_chemical_formula_sum 'Rb1 Li1 Ru2'
_space_group_name_H-M_alt 'P 1'
_space_group_IT_number 1
_space_group_name_Hall 'P 1'
_cell_length_a 4.5901
_cell_length_b 4.5901
_cell_length_c 4.5901
_cell_angle_alpha 60.00
_cell_angle_beta 60.00
_cell_angle_gamma 60.00
loop_
_atom_site_label
_atom_site_fract_x
_atom_site_fract_y
_atom_site_fract_z
Rb1 0.0000 0.0000 0.0000
Li1 0.5000 0.5000 0.5000
Ru1 0.2500 0.2500 0.2500
Ru2 0.7500 0.7500 0.7500
```

Calculated values
ρ in g/cm³: 7.152
Space group: Fm-3m, No. 225
DFT formation energy in eV/atom: 1.804

Repeat the first record exactly.
# RbLiRu2

A relaxed structure of RbLiRu2 (PBEsol, the Alexandria database).

```
data_RbLiRu2
_chemical_formula_sum 'Rb1 Li1 Ru2'
_space_group_name_H-M_alt 'P 1'
_space_group_IT_number 1
_space_group_name_Hall 'P 1'
_cell_length_a 4.5901
_cell_length_b 4.5901
_cell_length_c 4.5901
_cell_angle_alpha 60.00
_cell_angle_beta 60.00
_cell_angle_gamma 60.00
loop_
_atom_site_label
_atom_site_fract_x
_atom_site_fract_y
_atom_site_fract_z
Rb1 0.0000 0.0000 0.0000
Li1 0.5000 0.5000 0.5000
Ru1 0.2500 0.2500 0.2500
Ru2 0.7500 0.7500 0.7500
```

Calculated values
ρ in g/cm³: 7.152
Space group: Fm-3m, No. 225
DFT formation energy in eV/atom: 1.804